[1]
The following is a PBE calculation of an optimized crystal structure of LiPmSmAl, from Alexandria via LeMat-Bulk.

```
data_LiPmSmAl
_chemical_formula_sum 'Li4 Pm4 Sm4 Al4'
_cell_length_a 7.4430
_cell_length_b 7.4430
_cell_length_c 7.4430
_cell_angle_alpha 90.00
_cell_angle_beta 90.00
_cell_angle_gamma 90.00
_space_group_name_H-M_alt 'F -4 3 m'
_space_group_IT_number 216
_space_group_name_Hall 'F -4 2 3'
loop_
_atom_site_label
_atom_site_type_symbol
_atom_site_fract_x
_atom_site_fract_y
_atom_site_fract_z
Li1 Li 0.0000 0.0000 0.0000
Pm1 Pm 0.2500 0.2500 0.7500
Sm1 Sm 0.2500 0.2500 0.2500
Al1 Al 0.0000 0.0000 0.5000
```

Results
- DFT formation energy: -0.20 eV/atom
- E_tot: -3.978 eV/atom

---

[2]
The following is a PBE calculation of an optimized crystal structure of LiPmAlSn, from Alexandria via LeMat-Bulk.

```
data_LiPmAlSn
_chemical_formula_sum 'Li4 Pm4 Al4 Sn4'
_cell_length_a 7.2317
_cell_length_b 7.2317
_cell_length_c 7.2317
_cell_angle_alpha 90.00
_cell_angle_beta 90.00
_cell_angle_gamma 90.00
_space_group_name_H-M_alt 'F -4 3 m'
_space_group_IT_number 216
_space_group_name_Hall 'F -4 2 3'
loop_
_atom_site_label
_atom_site_type_symbol
_atom_site_fract_x
_atom_site_fract_y
_atom_site_fract_z
Li1 Li 0.0000 0.0000 0.0000
Pm1 Pm 0.0000 0.0000 0.5000
Al1 Al 0.2500 0.2500 0.2500
Sn1 Sn 0.2500 0.2500 0.7500
```

Results
- DFT formation energy: -0.31 eV/atom
- E_tot: -3.909 eV/atom

---

[3]
The following is a PBE calculation of an optimized crystal structure of SrLiPmAl, from Alexandria via LeMat-Bulk.

```
data_SrLiPmAl
_chemical_formula_sum 'Sr4 Li4 Pm4 Al4'
_cell_length_a 7.7444
_cell_length_b 7.7444
_cell_length_c 7.7444
_cell_angle_alpha 90.00
_cell_angle_beta 90.00
_cell_angle_gamma 90.00
_space_group_name_H-M_alt 'F -4 3 m'
_space_group_IT_number 216
_space_group_name_Hall 'F -4 2 3'
loop_
_atom_site_label
_atom_site_type_symbol
_atom_site_fract_x
_atom_site_fract_y
_atom_site_fract_z
Sr1 Sr 0.0000 0.0000 0.0000
Li1 Li 0.2500 0.2500 0.7500
Pm1 Pm 0.0000 0.0000 0.5000
Al1 Al 0.2500 0.2500 0.2500
```

Results
- DFT formation energy: -0.07 eV/atom
- E_tot: -3.097 eV/atom

---

[4]
The following is a PBE calculation of an optimized crystal structure of LiTbPmAl, from Alexandria via LeMat-Bulk.

```
data_LiTbPmAl
_chemical_formula_sum 'Li4 Tb4 Pm4 Al4'
_cell_length_a 7.3890
_cell_length_b 7.3890
_cell_length_c 7.3890
_cell_angle_alpha 90.00
_cell_angle_beta 90.00
_cell_angle_gamma 90.00
_space_group_name_H-M_alt 'F -4 3 m'
_space_group_IT_number 216
_space_group_name_Hall 'F -4 2 3'
loop_
_atom_site_label
_atom_site_type_symbol
_atom_site_fract_x
_atom_site_fract_y
_atom_site_fract_z
Li1 Li 0.0000 0.0000 0.0000
Tb1 Tb 0.2500 0.2500 0.7500
Pm1 Pm 0.2500 0.2500 0.2500
Al1 Al 0.0000 0.0000 0.5000
```

Results
- DFT formation energy: -0.20 eV/atom
- E_tot: -3.961 eV/atom

---

[5]
The following is a PBE calculation of an optimized crystal structure of LiPmAlTl, from Alexandria via LeMat-Bulk.

```
data_LiPmAlTl
_chemical_formula_sum 'Li4 Pm4 Al4 Tl4'
_cell_length_a 7.2484
_cell_length_b 7.2484
_cell_length_c 7.2484
_cell_angle_alpha 90.00
_cell_angle_beta 90.00
_cell_angle_gamma 90.00
_space_group_name_H-M_alt 'F -4 3 m'
_space_group_IT_number 216
_space_group_name_Hall 'F -4 2 3'
loop_
_atom_site_label
_atom_site_type_symbol
_atom_site_fract_x
_atom_site_fract_y
_atom_site_fract_z
Li1 Li 0.0000 0.0000 0.0000
Pm1 Pm 0.0000 0.0000 0.5000
Al1 Al 0.2500 0.2500 0.7500
Tl1 Tl 0.2500 0.2500 0.2500
```

Results
- DFT formation energy: -0.25 eV/atom
- E_tot: -3.440 eV/atom

---

[6]
The following is a PBE calculation of an optimized crystal structure of LiPmTmAl, from Alexandria via LeMat-Bulk.

```
data_LiPmTmAl
_chemical_formula_sum 'Li4 Pm4 Tm4 Al4'
_cell_length_a 7.3307
_cell_length_b 7.3307
_cell_length_c 7.3307
_cell_angle_alpha 90.00
_cell_angle_beta 90.00
_cell_angle_gamma 90.00
_space_group_name_H-M_alt 'F -4 3 m'
_space_group_IT_number 216
_space_group_name_Hall 'F -4 2 3'
loop_
_atom_site_label
_atom_site_type_symbol
_atom_site_fract_x
_atom_site_fract_y
_atom_site_fract_z
Li1 Li 0.0000 0.0000 0.0000
Pm1 Pm 0.2500 0.2500 0.2500
Tm1 Tm 0.2500 0.2500 0.7500
Al1 Al 0.0000 0.0000 0.5000
```

Results
- DFT formation energy: -0.20 eV/atom
- E_tot: -3.920 eV/atom

---

[7]
The following is a PBE calculation of an optimized crystal structure of LiPm4AlZn2, from Alexandria via LeMat-Bulk.

```
data_LiPm4AlZn2
_chemical_formula_sum 'Li3 Pm12 Al3 Zn6'
_cell_length_a 5.2149
_cell_length_b 5.2149
_cell_length_c 25.6623
_cell_angle_alpha 90.00
_cell_angle_beta 90.00
_cell_angle_gamma 120.00
_space_group_name_H-M_alt 'R -3 m'
_space_group_IT_number 166
_space_group_name_Hall '-R 3 2"'
loop_
_atom_site_label
_atom_site_type_symbol
_atom_site_fract_x
_atom_site_fract_y
_atom_site_fract_z
Li1 Li 0.0000 0.0000 0.0000
Pm1 Pm 0.0000 0.0000 0.1261
Pm2 Pm 0.0000 0.0000 0.3767
Al1 Al 0.0000 0.0000 0.5000
Zn1 Zn 0.0000 0.0000 0.2528
```

Results
- DFT formation energy: -0.23 eV/atom
- E_tot: -3.635 eV/atom

---

[8]
The following is a PBE calculation of an optimized crystal structure of LiPm2Al4Zn3, from Alexandria via LeMat-Bulk.

```
data_LiPm2Al4Zn3
_chemical_formula_sum 'Li1 Pm2 Al4 Zn3'
_cell_length_a 4.2646
_cell_length_b 4.2646
_cell_length_c 10.7096
_cell_angle_alpha 90.00
_cell_angle_beta 90.00
_cell_angle_gamma 90.00
_space_group_name_H-M_alt 'P -4 m 2'
_space_group_IT_number 115
_space_group_name_Hall 'P -4 -2'
loop_
_atom_site_label
_atom_site_type_symbol
_atom_site_fract_x
_atom_site_fract_y
_atom_site_fract_z
Li1 Li 0.0000 0.0000 0.0000
Pm1 Pm 0.0000 0.5000 0.7474
Al1 Al 0.0000 0.0000 0.5000
Al2 Al 0.0000 0.5000 0.1313
Al3 Al 0.5000 0.5000 0.5000
Zn1 Zn 0.0000 0.5000 0.3621
Zn2 Zn 0.5000 0.5000 0.0000
```

Results
- DFT formation energy: -0.36 eV/atom
- E_tot: -3.381 eV/atom

---

[9]
The following is a PBE calculation of an optimized crystal structure of Li2PmAl2Zn2, from Alexandria via LeMat-Bulk.

```
data_Li2PmAl2Zn2
_chemical_formula_sum 'Li4 Pm2 Al4 Zn4'
_cell_length_a 7.7651
_cell_length_b 4.4955
_cell_length_c 7.7614
_cell_angle_alpha 90.00
_cell_angle_beta 109.78
_cell_angle_gamma 90.00
_space_group_name_H-M_alt 'C 1 2/m 1'
_space_group_IT_number 12
_space_group_name_Hall '-C 2y'
loop_
_atom_site_label
_atom_site_type_symbol
_atom_site_fract_x
_atom_site_fract_y
_atom_site_fract_z
Li1 Li 0.1458 0.0000 0.4342
Pm1 Pm 0.0000 0.0000 0.0000
Al1 Al 0.0699 0.5000 0.7117
Zn1 Zn 0.2400 0.5000 0.2175
```

Results
- DFT formation energy: -0.29 eV/atom
- E_tot: -2.950 eV/atom

---

[10]
The following is a PBE calculation of an optimized crystal structure of LiPmAl2Zn4, from Alexandria via LeMat-Bulk.

```
data_LiPmAl2Zn4
_chemical_formula_sum 'Li3 Pm3 Al6 Zn12'
_cell_length_a 4.4372
_cell_length_b 4.4372
_cell_length_c 24.5621
_cell_angle_alpha 90.00
_cell_angle_beta 90.00
_cell_angle_gamma 120.00
_space_group_name_H-M_alt 'R -3 m'
_space_group_IT_number 166
_space_group_name_Hall '-R 3 2"'
loop_
_atom_site_label
_atom_site_type_symbol
_atom_site_fract_x
_atom_site_fract_y
_atom_site_fract_z
Li1 Li 0.0000 0.0000 0.0000
Pm1 Pm 0.0000 0.0000 0.5000
Al1 Al 0.0000 0.0000 0.2550
Zn1 Zn 0.0000 0.0000 0.1036
Zn2 Zn 0.0000 0.0000 0.3683
```

Results
- DFT formation energy: -0.25 eV/atom
- E_tot: -2.657 eV/atom

---

[11]
The following is a PBE calculation of an optimized crystal structure of LiPm2Al3Zn4, from Alexandria via LeMat-Bulk.

```
data_LiPm2Al3Zn4
_chemical_formula_sum 'Li1 Pm2 Al3 Zn4'
_cell_length_a 4.3311
_cell_length_b 4.3311
_cell_length_c 10.3816
_cell_angle_alpha 90.00
_cell_angle_beta 90.00
_cell_angle_gamma 90.00
_space_group_name_H-M_alt 'P -4 m 2'
_space_group_IT_number 115
_space_group_name_Hall 'P -4 -2'
loop_
_atom_site_label
_atom_site_type_symbol
_atom_site_fract_x
_atom_site_fract_y
_atom_site_fract_z
Li1 Li 0.0000 0.0000 0.0000
Pm1 Pm 0.0000 0.5000 0.7441
Al1 Al 0.0000 0.5000 0.3645
Al2 Al 0.5000 0.5000 0.0000
Zn1 Zn 0.0000 0.0000 0.5000
Zn2 Zn 0.0000 0.5000 0.1273
Zn3 Zn 0.5000 0.5000 0.5000
```

Results
- DFT formation energy: -0.35 eV/atom
- E_tot: -3.119 eV/atom

---

[12]
The following is a PBE calculation of an optimized crystal structure of LiPr2Al, from Alexandria via LeMat-Bulk.

```
data_LiPr2Al
_chemical_formula_sum 'Li1 Pr2 Al1'
_cell_length_a 5.3049
_cell_length_b 5.3049
_cell_length_c 3.8598
_cell_angle_alpha 90.00
_cell_angle_beta 90.00
_cell_angle_gamma 90.00
_space_group_name_H-M_alt 'P 4/m m m'
_space_group_IT_number 123
_space_group_name_Hall '-P 4 2'
loop_
_atom_site_label
_atom_site_type_symbol
_atom_site_fract_x
_atom_site_fract_y
_atom_site_fract_z
Li1 Li 0.0000 0.0000 0.0000
Pr1 Pr 0.0000 0.5000 0.5000
Al1 Al 0.5000 0.5000 0.0000
```

Results
- DFT formation energy: -0.16 eV/atom
- E_tot: -3.965 eV/atom

---

[13]
The following is a PBE calculation of an optimized crystal structure of LiPr4Al, from Alexandria via LeMat-Bulk.

```
data_LiPr4Al
_chemical_formula_sum 'Li1 Pr4 Al1'
_cell_length_a 5.0417
_cell_length_b 5.0417
_cell_length_c 8.1046
_cell_angle_alpha 90.00
_cell_angle_beta 90.00
_cell_angle_gamma 90.00
_space_group_name_H-M_alt 'P 4/m m m'
_space_group_IT_number 123
_space_group_name_Hall '-P 4 2'
loop_
_atom_site_label
_atom_site_type_symbol
_atom_site_fract_x
_atom_site_fract_y
_atom_site_fract_z
Li1 Li 0.0000 0.0000 0.0000
Pr1 Pr 0.0000 0.5000 0.2665
Al1 Al 0.5000 0.5000 0.5000
```

Results
- DFT formation energy: 0.19 eV/atom
- Offset from the most stable computed form: 0.2676 eV/atom
- E_tot: -3.937 eV/atom

---

[14]
The following is a PBE calculation of an optimized crystal structure of LiPrAl, from Alexandria via LeMat-Bulk.

```
data_LiPrAl
_chemical_formula_sum 'Li1 Pr1 Al1'
_cell_length_a 4.9872
_cell_length_b 4.9872
_cell_length_c 3.3248
_cell_angle_alpha 90.00
_cell_angle_beta 90.00
_cell_angle_gamma 120.00
_space_group_name_H-M_alt 'P -6 m 2'
_space_group_IT_number 187
_space_group_name_Hall 'P -6 2'
loop_
_atom_site_label
_atom_site_type_symbol
_atom_site_fract_x
_atom_site_fract_y
_atom_site_fract_z
Li1 Li 0.0000 0.0000 0.0000
Pr1 Pr 0.3333 0.6667 0.5000
Al1 Al 0.6667 0.3333 0.0000
```

Results
- DFT formation energy: -0.19 eV/atom
- Offset from the most stable computed form: 0.0303 eV/atom
- E_tot: -3.665 eV/atom

---

[15]
The following is a PBE calculation of an optimized crystal structure of LiPrAl2, from Alexandria via LeMat-Bulk.

```
data_LiPrAl2
_chemical_formula_sum 'Li2 Pr2 Al4'
_cell_length_a 5.2458
_cell_length_b 7.2461
_cell_length_c 4.5289
_cell_angle_alpha 90.00
_cell_angle_beta 90.00
_cell_angle_gamma 90.00
_space_group_name_H-M_alt 'C m m m'
_space_group_IT_number 65
_space_group_name_Hall '-C 2 2'
loop_
_atom_site_label
_atom_site_type_symbol
_atom_site_fract_x
_atom_site_fract_y
_atom_site_fract_z
Li1 Li 0.0000 0.0000 0.0000
Pr1 Pr 0.0000 0.5000 0.0000
Al1 Al 0.0000 0.1831 0.5000
```

Results
- DFT formation energy: -0.06 eV/atom
- Offset from the most stable computed form: 0.1950 eV/atom
- E_tot: -3.603 eV/atom

---

[16]
The following is a PBE calculation of an optimized crystal structure of LiPr3Al8, from Alexandria via LeMat-Bulk.

```
data_LiPr3Al8
_chemical_formula_sum 'Li3 Pr9 Al24'
_cell_length_a 5.6500
_cell_length_b 5.6500
_cell_length_c 27.7150
_cell_angle_alpha 90.00
_cell_angle_beta 90.00
_cell_angle_gamma 120.00
_space_group_name_H-M_alt 'R 3 m'
_space_group_IT_number 160
_space_group_name_Hall 'R 3 -2"'
loop_
_atom_site_label
_atom_site_type_symbol
_atom_site_fract_x
_atom_site_fract_y
_atom_site_fract_z
Li1 Li 0.0000 0.0000 0.0000
Pr1 Pr 0.0000 0.0000 0.1211
Pr2 Pr 0.0000 0.0000 0.5012
Pr3 Pr 0.0000 0.0000 0.6299
Al1 Al 0.0000 0.0000 0.3142
Al2 Al 0.0000 0.0000 0.8140
Al3 Al 0.9995 0.4998 0.5646
Al4 Al 0.0011 0.5005 0.0644
```

Results
- DFT formation energy: -0.38 eV/atom
- E_tot: -4.232 eV/atom

---

[17]
The following is a PBE calculation of an optimized crystal structure of LiPr2Al3, from Alexandria via LeMat-Bulk.

```
data_LiPr2Al3
_chemical_formula_sum 'Li2 Pr4 Al6'
_cell_length_a 5.7916
_cell_length_b 5.7916
_cell_length_c 9.2120
_cell_angle_alpha 90.00
_cell_angle_beta 90.00
_cell_angle_gamma 120.00
_space_group_name_H-M_alt 'P 63/m m c'
_space_group_IT_number 194
_space_group_name_Hall '-P 6c 2c'
loop_
_atom_site_label
_atom_site_type_symbol
_atom_site_fract_x
_atom_site_fract_y
_atom_site_fract_z
Li1 Li 0.0000 0.0000 0.0000
Pr1 Pr 0.3333 0.6667 0.0745
Al1 Al 0.1700 0.3400 0.7500
```

Results
- DFT formation energy: -0.37 eV/atom
- E_tot: -4.153 eV/atom

---

[18]
The following is a PBE calculation of an optimized crystal structure of LiPr2Al5, from Alexandria via LeMat-Bulk.

```
data_LiPr2Al5
_chemical_formula_sum 'Li2 Pr4 Al10'
_cell_length_a 6.2104
_cell_length_b 6.2104
_cell_length_c 8.9691
_cell_angle_alpha 90.00
_cell_angle_beta 90.00
_cell_angle_gamma 90.00
_space_group_name_H-M_alt 'I 4 m m'
_space_group_IT_number 107
_space_group_name_Hall 'I 4 -2'
loop_
_atom_site_label
_atom_site_type_symbol
_atom_site_fract_x
_atom_site_fract_y
_atom_site_fract_z
Li1 Li 0.0000 0.0000 0.0000
Pr1 Pr 0.0000 0.5000 0.0003
Al1 Al 0.0000 0.0000 0.5010
Al2 Al 0.2499 0.2499 0.2503
```

Results
- DFT formation energy: -0.29 eV/atom
- E_tot: -4.063 eV/atom

---

[19]
The following is a PBE calculation of an optimized crystal structure of LiPrAl2, from Alexandria via LeMat-Bulk.

```
data_LiPrAl2
_chemical_formula_sum 'Li4 Pr4 Al8'
_cell_length_a 7.0599
_cell_length_b 7.0599
_cell_length_c 7.0599
_cell_angle_alpha 90.00
_cell_angle_beta 90.00
_cell_angle_gamma 90.00
_space_group_name_H-M_alt 'F m -3 m'
_space_group_IT_number 225
_space_group_name_Hall '-F 4 2 3'
loop_
_atom_site_label
_atom_site_type_symbol
_atom_site_fract_x
_atom_site_fract_y
_atom_site_fract_z
Li1 Li 0.0000 0.0000 0.0000
Pr1 Pr 0.0000 0.0000 0.5000
Al1 Al 0.2500 0.2500 0.2500
```

Results
- DFT formation energy: -0.20 eV/atom
- Offset from the most stable computed form: 0.0520 eV/atom
- E_tot: -3.746 eV/atom

---

[20]
The following is a PBE calculation of an optimized crystal structure of Li8PrAl4, from Alexandria via LeMat-Bulk.

```
data_Li8PrAl4
_chemical_formula_sum 'Li16 Pr2 Al8'
_cell_length_a 9.3953
_cell_length_b 9.3953
_cell_length_c 5.4994
_cell_angle_alpha 90.00
_cell_angle_beta 90.00
_cell_angle_gamma 90.00
_space_group_name_H-M_alt 'I 4/m m m'
_space_group_IT_number 139
_space_group_name_Hall '-I 4 2'
loop_
_atom_site_label
_atom_site_type_symbol
_atom_site_fract_x
_atom_site_fract_y
_atom_site_fract_z
Li1 Li 0.0000 0.2204 0.0000
Li2 Li 0.0000 0.3474 0.5000
Pr1 Pr 0.0000 0.0000 0.5000
Al1 Al 0.2500 0.2500 0.2500
```

Results
- DFT formation energy: -0.14 eV/atom
- E_tot: -2.837 eV/atom